1.
Computed, not measured: crystalline ZrFeTe at its relaxed geometry at the PBE-GGA level of DFT.

Computed properties:
**Formation energy (no corrections)**: -8.8 kJ/mol of atoms
**Crystal system**: tetragonal
**Magnetization**: 2.4 μB/f.u.
**Density of states at the Fermi level**: 1.10 states/eV per atom

Lattice parameters (Å, degrees): 3.554 3.554 9.281 90.00 90.00 90.00
Space group I4mm (No. 107)
Symmetry-distinct sites (fractional):
Zr 0.000 0.000 0.000 x2
Fe 0.000 0.000 0.343 x2
Te 0.000 0.000 0.682 x2

2.
Computed, not measured: crystalline ReTc2Ir at its relaxed geometry at the PBE-GGA level of DFT.

Computed properties:
**Crystal system**: tetragonal
**Calculated formation energy**: 1.24 eV/atom
**Magnetization**: 0.0 μB/f.u.
**Density of states at the Fermi level**: 1.42 states/eV per atom
**Excess energy over the best structure of this formula in the dataset**: 1420 meV/atom

Lattice parameters (Å, degrees): 5.615 5.615 11.077 90.00 90.00 90.00
Space group I-42d (No. 122)
Symmetry-distinct sites (fractional):
Re 0.000 0.000 0.000 x4
Tc 0.249 0.250 0.625 x8
Ir 0.000 0.000 0.500 x4

3.
Computed, not measured: crystalline TaCr2Sb at its relaxed geometry at the PBE-GGA level of DFT.

Computed properties:
**Formation energy (no corrections)**: 13.7 kJ/mol of atoms
**Crystal system**: tetragonal
**Magnetization**: 2.0 μB/f.u.
**Density of states at the Fermi level**: 0.45 states/eV per atom
**Excess energy over the best structure of this formula in the dataset**: 30 meV/atom

Lattice parameters (Å, degrees): 3.253 3.253 5.927 90.00 90.00 90.00
Space group P4/mmm (No. 123)
Symmetry-distinct sites (fractional):
Ta 0.000 0.000 0.000 x1
Cr 0.500 0.500 0.245 x2
Sb 0.000 0.000 0.500 x1

4.
Computed, not measured: crystalline K3Na5F12 at its relaxed geometry at the PBE-GGA level of DFT.

Computed properties:
**Formation energy (no corrections)**: -201.9 kJ/mol of atoms
**Crystal system**: cubic
**Magnetization**: 4.0 μB/f.u.
**Density of states at the Fermi level**: 0.75 states/eV per atom

Lattice parameters (Å, degrees): 14.206 14.206 14.206 90.00 90.00 90.00
Space group Ia-3d (No. 230)
Symmetry-distinct sites (fractional):
K 0.000 0.250 0.125 x24
Na 0.000 0.000 0.000 x16
Na 0.000 0.250 0.375 x24
F 0.043 0.073 0.640 x96

5.
Computed, not measured: crystalline CaCd3Ga3 at its relaxed geometry at the PBE-GGA level of DFT.

Computed properties:
**Crystal system**: monoclinic
**Calculated formation energy**: -0.17 eV/atom
**Magnetization**: 0.0 μB/f.u.
**Density of states at the Fermi level**: 0.26 states/eV per atom
**Excess energy over the best structure of this formula in the dataset**: 0 meV/atom

Lattice parameters (Å, degrees): 7.724 4.445 9.805 90.00 106.89 90.00
Space group P2_1/m (No. 11)
Symmetry-distinct sites (fractional):
Ca 0.169 0.250 0.291 x2
Cd 0.278 0.750 0.783 x2
Cd 0.329 0.250 0.992 x2
Cd 0.462 0.750 0.232 x2
Ga 0.075 0.750 0.497 x2
Ga 0.100 0.750 0.031 x2
Ga 0.414 0.750 0.518 x2

6.
Computed, not measured: crystalline Be2AsF at its relaxed geometry at the PBE-GGA level of DFT.

Computed properties:
**Formation energy (no corrections)**: -78.5 kJ/mol of atoms
**Crystal system**: tetragonal
**Magnetization**: 0.0 μB/f.u.
**Density of states at the Fermi level**: 0.00 states/eV per atom
**Excess energy over the best structure of this formula in the dataset**: 0 meV/atom

Lattice parameters (Å, degrees): 4.569 4.569 10.093 90.00 90.00 90.00
Space group I-42d (No. 122)
Symmetry-distinct sites (fractional):
Be 0.203 0.250 0.125 x8
As 0.000 0.000 0.500 x4
F 0.000 0.000 0.000 x4

7.
Computed, not measured: crystalline Ac3NdSi2N6 at its relaxed geometry at the PBE-GGA level of DFT.

Computed properties:
**Formation energy (no corrections)**: -98.8 kJ/mol of atoms
**Crystal system**: trigonal
**Magnetization**: 1.5 μB/f.u.
**Density of states at the Fermi level**: 0.23 states/eV per atom

Lattice parameters (Å, degrees): 6.0356 6.0356 6.9115 90.00 90.00 120.00
Space group P-3m1 (No. 164)
Symmetry-distinct sites (fractional):
Ac 0.0000 0.0000 0.0000 x1
Ac 0.3333 0.6667 0.6615 x2
Nd 0.0000 0.0000 0.5000 x1
Si 0.3333 0.6667 0.2040 x2
N 0.1778 0.3555 0.2822 x6

8.
Computed, not measured: crystalline NdLu3O at its relaxed geometry at the PBE-GGA level of DFT.

Computed properties:
**Formation energy (no corrections)**: -100.9 kJ/mol of atoms
**Crystal system**: cubic
**Magnetization**: 0.0 μB/f.u.
**Density of states at the Fermi level**: 1.45 states/eV per atom

Lattice parameters (Å, degrees): 4.878 4.878 4.878 90.00 90.00 90.00
Space group Pm-3m (No. 221)
Symmetry-distinct sites (fractional):
Nd 0.000 0.000 0.000 x1
Lu 0.000 0.500 0.500 x3
O 0.500 0.500 0.500 x1

9.
Computed, not measured: crystalline Sc2ZnPbAu at its relaxed geometry at the PBE-GGA level of DFT.

Computed properties:
**Crystal system**: tetragonal
**Calculated formation energy**: 0.29 eV/atom
**Magnetization**: 0.0 μB/f.u.
**Density of states at the Fermi level**: 0.91 states/eV per atom

Lattice parameters (Å, degrees): 5.088 5.088 4.952 90.00 90.00 90.00
Space group P4/mmm (No. 123)
Symmetry-distinct sites (fractional):
Sc 0.000 0.500 0.000 x2
Zn 0.000 0.000 0.000 x1
Pb 0.000 0.000 0.500 x1
Au 0.500 0.500 0.500 x1

10.
Computed, not measured: crystalline As3PtC at its relaxed geometry at the PBE-GGA level of DFT.

Computed properties:
**Crystal system**: cubic
**Calculated formation energy**: 0.93 eV/atom
**Magnetization**: 0.0 μB/f.u.
**Density of states at the Fermi level**: 0.29 states/eV per atom
**Excess energy over the best structure of this formula in the dataset**: 0 meV/atom

Lattice parameters (Å, degrees): 4.275 4.275 4.275 90.00 90.00 90.00
Space group Pm-3m (No. 221)
Symmetry-distinct sites (fractional):
As 0.000 0.000 0.500 x3
Pt 0.500 0.500 0.500 x1
C 0.000 0.000 0.000 x1

11.
Computed, not measured: crystalline CoCuTe2 at its relaxed geometry at the PBE-GGA level of DFT.

Computed properties:
**Formation energy (no corrections)**: 39.1 kJ/mol of atoms
**Crystal system**: tetragonal
**Magnetization**: 0.0 μB/f.u.
**Density of states at the Fermi level**: 0.69 states/eV per atom
**Excess energy over the best structure of this formula in the dataset**: 365 meV/atom

Lattice parameters (Å, degrees): 3.271 3.271 6.951 90.00 90.00 90.00
Space group P4/mmm (No. 123)
Symmetry-distinct sites (fractional):
Co 0.000 0.000 0.000 x1
Cu 0.000 0.000 0.500 x1
Te 0.500 0.500 0.230 x2

12.
Computed, not measured: crystalline LaHo5ErTh2 at its relaxed geometry at the PBE-GGA level of DFT.

Computed properties:
**Crystal system**: tetragonal
**Calculated formation energy**: 0.33 eV/atom
**Magnetization**: 0.0 μB/f.u.
**Density of states at the Fermi level**: 1.46 states/eV per atom

Lattice parameters (Å, degrees): 8.920 8.920 15.109 90.00 90.00 90.00
Space group I4/mcm (No. 140)
Symmetry-distinct sites (fractional):
La 0.000 0.000 0.250 x4
Ho 0.000 0.000 0.000 x4
Ho 0.206 0.294 0.136 x16
Er 0.000 0.500 0.250 x4
Th 0.119 0.381 0.500 x8